Record 1
DFT (PBE-GGA) results for an optimized crystal structure of Pm3Ag2Au8.

- Magnetization: 0.00 μB/cell
- Calculated formation energy: -0.358 eV per atom

abc: 12.419 12.419 12.419
angles: 25.45 25.45 25.45
Fractional coordinates of all 13 atoms:
Pm 0.000 0.000 0.000
Pm 0.240 0.240 0.240
Pm 0.760 0.760 0.760
Ag 0.396 0.396 0.396
Ag 0.604 0.604 0.604
Au 0.199 0.704 0.704
Au 0.296 0.296 0.801
Au 0.296 0.801 0.296
Au 0.320 0.320 0.320
Au 0.680 0.680 0.680
Au 0.704 0.199 0.704
Au 0.704 0.704 0.199
Au 0.801 0.296 0.296



Record 2
DFT (PBE-GGA) results for an optimized crystal structure of SrSi2Ir.

- Magnetization: 0.00 μB/cell
- ΔE_f (raw): 250 meV/atom

abc: 4.165 4.165 4.277
angles: 90.00 90.00 90.00
Fractional coordinates of all 4 atoms:
Sr 0.000 0.000 0.000
Si 0.000 0.500 0.500
Si 0.500 0.000 0.500
Ir 0.500 0.500 0.000



Record 3
DFT (PBE-GGA) results for an optimized crystal structure of ScOsN2.

- Magnetization: 0.00 μB/cell
- ΔE_f (raw): -455 meV/atom
- E above lowest polymorph: 0.0 meV/atom

abc: 6.027 6.027 6.027
angles: 135.65 135.65 64.52
Fractional coordinates of all 8 atoms:
Sc 0.000 0.000 0.000
Sc 0.750 0.250 0.500
Os 0.250 0.750 0.500
Os 0.500 0.500 0.000
N 0.162 0.625 0.037
N 0.375 0.412 0.537
N 0.588 0.125 0.963
N 0.875 0.838 0.463



Record 4
DFT (PBE-GGA) results for an optimized crystal structure of Mg3Ga2Ag4Hg2.

- Magnetization: 0.00 μB/cell
- Calculated formation energy: -0.054 eV per atom

abc: 13.462 13.462 13.462
angles: 162.30 162.30 25.13
Fractional coordinates of all 11 atoms:
Mg 0.000 0.000 0.000
Mg 0.198 0.198 0.000
Mg 0.802 0.802 0.000
Ga 0.454 0.454 0.000
Ga 0.546 0.546 0.000
Ag 0.110 0.610 0.500
Ag 0.390 0.890 0.500
Ag 0.610 0.110 0.500
Ag 0.890 0.390 0.500
Hg 0.305 0.305 0.000
Hg 0.695 0.695 0.000



Record 5
DFT (PBE-GGA) results for an optimized crystal structure of Y2Zn2Bi.

- Magnetization: 0.00 μB/cell
- E above lowest polymorph: 0.0 meV/atom
- Calculated formation energy: -0.464 eV per atom

abc: 7.415 7.415 4.405
angles: 90.00 90.00 90.00
Fractional coordinates of all 10 atoms:
Y 0.169 0.331 0.000
Y 0.331 0.831 0.000
Y 0.669 0.169 0.000
Y 0.831 0.669 0.000
Zn 0.120 0.620 0.500
Zn 0.380 0.120 0.500
Zn 0.620 0.880 0.500
Zn 0.880 0.380 0.500
Bi 0.000 0.000 0.500
Bi 0.500 0.500 0.500



Record 6
DFT (PBE-GGA) results for an optimized crystal structure of Na2Cd5Au4.

- Magnetization: 0.00 μB/cell
- E above lowest polymorph: 0.0 meV/atom
- Calculated formation energy: -0.202 eV per atom

abc: 7.131 7.131 8.951
angles: 128.79 128.79 48.05
Fractional coordinates of all 11 atoms:
Na 0.214 0.214 0.214
Na 0.786 0.786 0.786
Cd 0.252 0.748 0.319
Cd 0.252 0.748 0.681
Cd 0.500 0.500 0.000
Cd 0.748 0.252 0.319
Cd 0.748 0.252 0.681
Au 0.257 0.257 0.586
Au 0.257 0.257 0.929
Au 0.743 0.743 0.071
Au 0.743 0.743 0.414



Record 7
DFT (PBE-GGA) results for an optimized crystal structure of Sn2HgC.

- Magnetization: 0.00 μB/cell
- E above lowest polymorph: 632.1 meV/atom
- Calculated formation energy: 1.305 eV per atom

abc: 4.936 4.936 4.936
angles: 60.00 60.00 60.00
Fractional coordinates of all 4 atoms:
Sn 0.250 0.250 0.250
Sn 0.750 0.750 0.750
Hg 0.000 0.000 0.000
C 0.500 0.500 0.500



Record 8
DFT (PBE-GGA) results for an optimized crystal structure of Pm2TmBePd6.

- Magnetization: 0.00 μB/cell
- Calculated formation energy: -0.634 eV per atom

abc: 8.346 8.346 8.346
angles: 40.55 40.55 40.55
Fractional coordinates of all 10 atoms:
Pm 0.214 0.214 0.214
Pm 0.786 0.786 0.786
Tm 0.000 0.000 0.000
Be 0.500 0.500 0.500
Pd 0.232 0.735 0.735
Pd 0.265 0.265 0.768
Pd 0.265 0.768 0.265
Pd 0.735 0.232 0.735
Pd 0.735 0.735 0.232
Pd 0.768 0.265 0.265



Record 9
DFT (PBE-GGA) results for an optimized crystal structure of TlRh2Se.

- Magnetization: 0.00 μB/cell
- ΔE_f (raw): 135 meV/atom

abc: 8.729 8.729 8.729
angles: 21.70 21.70 21.70
Fractional coordinates of all 4 atoms:
Tl 0.000 0.000 0.000
Rh 0.251 0.251 0.251
Rh 0.503 0.503 0.503
Se 0.781 0.781 0.781



Record 10
DFT (PBE-GGA) results for an optimized crystal structure of YZn2C2.

- Magnetization: 0.00 μB/cell
- E above lowest polymorph: 0.0 meV/atom
- Calculated formation energy: 0.271 eV per atom

abc: 6.118 6.118 6.118
angles: 145.75 145.75 49.22
Fractional coordinates of all 5 atoms:
Y 0.000 0.000 0.000
Zn 0.250 0.750 0.500
Zn 0.750 0.250 0.500
C 0.440 0.440 0.000
C 0.560 0.560 0.000



Record 11
DFT (PBE-GGA) results for an optimized crystal structure of Li5Ce2Zn12.

- Magnetization: 1.58 μB/cell
- Calculated formation energy: -0.218 eV per atom

abc: 6.848 6.848 6.848
angles: 82.81 82.81 82.81
Fractional coordinates of all 19 atoms:
Li 0.000 0.000 0.500
Li 0.000 0.500 0.000
Li 0.097 0.097 0.097
Li 0.500 0.000 0.000
Li 0.903 0.903 0.903
Ce 0.348 0.348 0.348
Ce 0.652 0.652 0.652
Zn 0.000 0.296 0.704
Zn 0.000 0.704 0.296
Zn 0.155 0.652 0.652
Zn 0.296 0.000 0.704
Zn 0.296 0.704 0.000
Zn 0.348 0.348 0.845
Zn 0.348 0.845 0.348
Zn 0.652 0.155 0.652
Zn 0.652 0.652 0.155
Zn 0.704 0.000 0.296
Zn 0.704 0.296 0.000
Zn 0.845 0.348 0.348



Record 12
DFT (PBE-GGA) results for an optimized crystal structure of In2ReSb.

- Magnetization: 0.00 μB/cell
- ΔE_f (raw): 585 meV/atom

abc: 10.059 10.059 10.059
angles: 18.27 18.27 18.27
Fractional coordinates of all 4 atoms:
In 0.240 0.240 0.240
In 0.760 0.760 0.760
Re 0.500 0.500 0.500
Sb 0.000 0.000 0.000



Which of these has the highest magnetization?
Li5Ce2Zn12



magnetization of number 2 (SrSi2Ir)?
0.00 μB/cell